Density functional theory data (PBE-GGA) for a relaxed structure of BHRh3.

The electronic total energy is -30.19 eV/f.u. As for the distance to the lowest polymorph of the same formula: 500 meV/atom. Its crystal system is cubic.

The space group is Pm-3m (No. 221) and the conventional cell measures 3.775, 3.775 and 3.775 Å, with angles of 90.00, 90.00 and 90.00 degrees. Symmetry generates all atoms from B at (0.000, 0.000, 0.000), H at (0.500, 0.500, 0.500) and Rh at (0.000, 0.500, 0.500).

Density functional theory data (PBE-GGA) for a relaxed structure of BHRh2.

The electronic total energy is -24.57 eV/f.u. As for the distance to the lowest polymorph of the same formula: 264 meV/atom. Its crystal system is tetragonal.

The space group is I-42d (No. 122) and the conventional cell measures 4.189, 4.189 and 9.877 Å, with angles of 90.00, 90.00 and 90.00 degrees. Symmetry generates all atoms from B at (0.000, 0.000, 0.000), H at (0.000, 0.000, 0.500) and Rh at (0.225, 0.250, 0.625).

Density functional theory data (PBE-GGA) for a relaxed structure of B5H2Rh12.

The electronic total energy is -132.24 eV/f.u. Its crystal system is monoclinic.

The space group is C2/m (No. 12) and the conventional cell measures 12.098, 5.477 and 6.732 Å, with angles of 90.00, 106.12 and 90.00 degrees. Symmetry generates all atoms from B at (0.000, 0.000, 0.000), B at (0.187, 0.500, 0.339), B at (0.202, 0.500, 0.855), H at (0.000, 0.294, 0.500), Rh at (0.001, 0.500, 0.263), Rh at (0.002, 0.000, 0.291), Rh at (0.151, 0.251, 0.069) and Rh at (0.166, 0.250, 0.591).

Density functional theory data (PBE-GGA) for a relaxed structure of B3HRh.

The electronic total energy is -24.15 eV/f.u. As for the distance to the lowest polymorph of the same formula: 179 meV/atom. Its crystal system is cubic.

The space group is Pm-3m (No. 221) and the conventional cell measures 4.038, 4.038 and 4.038 Å, with angles of 90.00, 90.00 and 90.00 degrees. Symmetry generates all atoms from B at (0.000, 0.000, 0.500), H at (0.500, 0.500, 0.500) and Rh at (0.000, 0.000, 0.000).